LaTb4Zn PBE-GGA relaxed; distance to the lowest polymorph of the same formula = 90 meV per atom; ρ = 7.70 Mg/m³; formation energy from the elements = -3 kJ/mol of formula units
1.0
4.475 -6.815 0.000
4.475 6.815 0.000
-2.034 0.000 5.938
La Tb Zn
2 8 2
Direct
0.102 0.898 0.750
0.898 0.102 0.250
0.120 0.335 0.868
0.215 0.576 0.446
0.335 0.120 0.368
0.424 0.785 0.054
0.576 0.215 0.946
0.665 0.880 0.632
0.785 0.424 0.554
0.880 0.665 0.132
0.500 0.500 0.250
0.500 0.500 0.750

---

LaTb2Zn PBE-GGA relaxed; distance to the lowest polymorph of the same formula = 127 meV per atom; ρ = 7.68 Mg/m³; formation energy from the elements = -10 kJ/mol of formula units
1.0
4.813 0.000 0.000
0.000 4.813 0.000
0.000 0.000 4.873
La Tb Zn
1 2 1
Direct
0.000 0.000 0.000
0.000 0.500 0.500
0.500 0.000 0.500
0.500 0.500 0.000

---

LaTbZn2 PBE-GGA relaxed; ρ = 7.19 Mg/m³; formation energy from the elements = -123 kJ/mol of formula units
1.0
3.648 0.000 0.000
0.000 3.648 0.000
0.000 0.000 7.437
La Tb Zn
1 1 2
Direct
0.000 0.000 0.000
0.000 0.000 0.500
0.500 0.500 0.274
0.500 0.500 0.726

---

La4TbZn PBE-GGA relaxed; distance to the lowest polymorph of the same formula = 0 meV per atom; ρ = 6.60 Mg/m³; formation energy from the elements = -53 kJ/mol of formula units
1.0
3.729 0.000 0.000
0.000 3.729 0.000
0.000 0.000 14.104
La Tb Zn
4 1 1
Direct
0.000 0.000 0.134
0.000 0.000 0.866
0.500 0.500 0.321
0.500 0.500 0.679
0.000 0.000 0.500
0.500 0.500 0.000

---

LaTb4Zn PBE-GGA relaxed; distance to the lowest polymorph of the same formula = 0 meV per atom; ρ = 7.78 Mg/m³; formation energy from the elements = -55 kJ/mol of formula units
1.0
3.613 0.000 0.000
0.000 3.613 0.000
0.000 0.000 13.735
La Tb Zn
1 4 1
Direct
0.000 0.000 0.000
0.000 0.000 0.372
0.000 0.000 0.628
0.500 0.500 0.188
0.500 0.500 0.812
0.500 0.500 0.500

---

La12Tb3Zn PBE-GGA relaxed; ρ = 6.67 Mg/m³; formation energy from the elements = 0 kJ/mol of formula units
1.0
5.150 0.000 0.000
0.000 5.150 0.000
0.000 0.000 20.719
La Tb Zn
12 3 1
Direct
0.000 0.000 0.000
0.000 0.000 0.245
0.000 0.000 0.500
0.000 0.000 0.755
0.000 0.500 0.119
0.000 0.500 0.373
0.000 0.500 0.627
0.000 0.500 0.881
0.500 0.000 0.119
0.500 0.000 0.373
0.500 0.000 0.627
0.500 0.000 0.881
0.500 0.500 0.245
0.500 0.500 0.500
0.500 0.500 0.755
0.500 0.500 0.000

---

LaTb2Zn PBE-GGA relaxed; distance to the lowest polymorph of the same formula = 221 meV per atom; ρ = 7.07 Mg/m³; formation energy from the elements = 26 kJ/mol of formula units
1.0
2.515 1.452 5.602
-2.515 1.452 5.602
0.000 -2.904 5.602
La Tb Zn
1 2 1
Direct
0.000 0.000 0.000
0.213 0.213 0.213
0.446 0.446 0.446
0.797 0.797 0.797

---

LaTb3Zn2 PBE-GGA relaxed; ρ = 7.69 Mg/m³; formation energy from the elements = -129 kJ/mol of formula units
1.0
3.598 0.000 0.000
0.000 3.598 0.000
0.000 0.000 12.444
La Tb Zn
1 3 2
Direct
0.000 0.000 0.000
0.500 0.500 0.216
0.500 0.500 0.500
0.500 0.500 0.784
0.000 0.000 0.358
0.000 0.000 0.642